Version 1
# CoMoCl GGA-PBEsol relaxed
# mass density = 7.52 g/cm3
# crystal system = tetragonal
data_CoMoCl
_chemical_formula_sum 'Co2 Mo2 Cl2'
_cell_length_a 2.814
_cell_length_b 2.814
_cell_length_c 10.619
_cell_angle_alpha 90.00
_cell_angle_beta 90.00
_cell_angle_gamma 90.00
_symmetry_space_group_name_H-M 'I 4 m m'
_symmetry_Int_Tables_number 107
_symmetry_space_group_name_Hall 'I 4 -2'
loop_
_atom_site_label
_atom_site_type_symbol
_atom_site_fract_x
_atom_site_fract_y
_atom_site_fract_z
Co1 Co 0.000 0.000 0.000
Mo1 Mo 0.000 0.000 0.641
Cl1 Cl 0.000 0.000 0.301

---

Version 2
# CoMoCl GGA-PBEsol relaxed
# mass density = 6.91 g/cm3
# crystal system = cubic
data_CoMoCl
_chemical_formula_sum 'Co4 Mo4 Cl4'
_cell_length_a 5.678
_cell_length_b 5.678
_cell_length_c 5.678
_cell_angle_alpha 90.00
_cell_angle_beta 90.00
_cell_angle_gamma 90.00
_symmetry_space_group_name_H-M 'F -4 3 m'
_symmetry_Int_Tables_number 216
_symmetry_space_group_name_Hall 'F -4 2 3'
loop_
_atom_site_label
_atom_site_type_symbol
_atom_site_fract_x
_atom_site_fract_y
_atom_site_fract_z
Co1 Co 0.000 0.000 0.000
Mo1 Mo 0.250 0.250 0.250
Cl1 Cl 0.250 0.250 0.750

---

The relative energies come out as version 1 0.0; version 2 78.3, with values in kJ/mol of atoms.

---

Version 1
# CoMoP2Cl GGA-PBEsol relaxed
# mass density = 5.19 g/cm3
# crystal system = tetragonal
data_CoMoP2Cl
_chemical_formula_sum 'Co1 Mo1 P2 Cl1'
_cell_length_a 4.229
_cell_length_b 4.229
_cell_length_c 4.512
_cell_angle_alpha 90.00
_cell_angle_beta 90.00
_cell_angle_gamma 90.00
_symmetry_space_group_name_H-M 'P 4/m m m'
_symmetry_Int_Tables_number 123
_symmetry_space_group_name_Hall '-P 4 2'
loop_
_atom_site_label
_atom_site_type_symbol
_atom_site_fract_x
_atom_site_fract_y
_atom_site_fract_z
Co1 Co 0.000 0.000 0.000
Mo1 Mo 0.500 0.500 0.500
P1 P 0.000 0.500 0.000
Cl1 Cl 0.000 0.000 0.500

---

Version 2
# CoMoP2Cl GGA-PBEsol relaxed
# mass density = 4.14 g/cm3
# crystal system = tetragonal
data_CoMoP2Cl
_chemical_formula_sum 'Co1 Mo1 P2 Cl1'
_cell_length_a 4.609
_cell_length_b 4.609
_cell_length_c 4.765
_cell_angle_alpha 90.00
_cell_angle_beta 90.00
_cell_angle_gamma 90.00
_symmetry_space_group_name_H-M 'P 4/m m m'
_symmetry_Int_Tables_number 123
_symmetry_space_group_name_Hall '-P 4 2'
loop_
_atom_site_label
_atom_site_type_symbol
_atom_site_fract_x
_atom_site_fract_y
_atom_site_fract_z
Co1 Co 0.000 0.000 0.000
Mo1 Mo 0.500 0.500 0.500
P1 P 0.000 0.500 0.500
Cl1 Cl 0.500 0.500 0.000

---

The relative energies come out as version 1 0.0; version 2 11.6, with values in kJ/mol of atoms.

---

Version 1
# CoPOsCl2 GGA-PBEsol relaxed
# mass density = 6.90 g/cm3
# crystal system = tetragonal
data_CoPOsCl2
_chemical_formula_sum 'Co1 P1 Os1 Cl2'
_cell_length_a 4.283
_cell_length_b 4.283
_cell_length_c 4.608
_cell_angle_alpha 90.00
_cell_angle_beta 90.00
_cell_angle_gamma 90.00
_symmetry_space_group_name_H-M 'P 4/m m m'
_symmetry_Int_Tables_number 123
_symmetry_space_group_name_Hall '-P 4 2'
loop_
_atom_site_label
_atom_site_type_symbol
_atom_site_fract_x
_atom_site_fract_y
_atom_site_fract_z
Co1 Co 0.000 0.000 0.000
P1 P 0.000 0.000 0.500
Os1 Os 0.500 0.500 0.500
Cl1 Cl 0.000 0.500 0.000

---

Version 2
# CoPOsCl2 GGA-PBEsol relaxed
# mass density = 5.67 g/cm3
# crystal system = tetragonal
data_CoPOsCl2
_chemical_formula_sum 'Co1 P1 Os1 Cl2'
_cell_length_a 4.808
_cell_length_b 4.808
_cell_length_c 4.449
_cell_angle_alpha 90.00
_cell_angle_beta 90.00
_cell_angle_gamma 90.00
_symmetry_space_group_name_H-M 'P 4/m m m'
_symmetry_Int_Tables_number 123
_symmetry_space_group_name_Hall '-P 4 2'
loop_
_atom_site_label
_atom_site_type_symbol
_atom_site_fract_x
_atom_site_fract_y
_atom_site_fract_z
Co1 Co 0.000 0.000 0.000
P1 P 0.500 0.500 0.000
Os1 Os 0.500 0.500 0.500
Cl1 Cl 0.000 0.500 0.500

---

The relative energies come out as version 1 12.4; version 2 0.0, with values in kJ/mol of atoms.

---

Version 1
# CoPCl2 GGA-PBEsol relaxed
# mass density = 4.56 g/cm3
# crystal system = cubic
data_CoPCl2
_chemical_formula_sum 'Co4 P4 Cl8'
_cell_length_a 6.164
_cell_length_b 6.164
_cell_length_c 6.164
_cell_angle_alpha 90.00
_cell_angle_beta 90.00
_cell_angle_gamma 90.00
_symmetry_space_group_name_H-M 'F -4 3 m'
_symmetry_Int_Tables_number 216
_symmetry_space_group_name_Hall 'F -4 2 3'
loop_
_atom_site_label
_atom_site_type_symbol
_atom_site_fract_x
_atom_site_fract_y
_atom_site_fract_z
Co1 Co 0.000 0.000 0.000
P1 P 0.250 0.250 0.750
Cl1 Cl 0.000 0.000 0.500
Cl2 Cl 0.250 0.250 0.250

---

Version 2
# CoPCl2 GGA-PBEsol relaxed
# mass density = 4.46 g/cm3
# crystal system = cubic
data_CoPCl2
_chemical_formula_sum 'Co4 P4 Cl8'
_cell_length_a 6.212
_cell_length_b 6.212
_cell_length_c 6.212
_cell_angle_alpha 90.00
_cell_angle_beta 90.00
_cell_angle_gamma 90.00
_symmetry_space_group_name_H-M 'F m -3 m'
_symmetry_Int_Tables_number 225
_symmetry_space_group_name_Hall '-F 4 2 3'
loop_
_atom_site_label
_atom_site_type_symbol
_atom_site_fract_x
_atom_site_fract_y
_atom_site_fract_z
Co1 Co 0.000 0.000 0.000
P1 P 0.000 0.000 0.500
Cl1 Cl 0.250 0.250 0.250

---

Version 3
# CoPCl2 GGA-PBEsol relaxed
# mass density = 3.67 g/cm3
# crystal system = monoclinic
data_CoPCl2
_chemical_formula_sum 'Co2 P2 Cl4'
_cell_length_a 5.734
_cell_length_b 3.311
_cell_length_c 7.672
_cell_angle_alpha 90.00
_cell_angle_beta 91.24
_cell_angle_gamma 90.00
_symmetry_space_group_name_H-M 'C 1 m 1'
_symmetry_Int_Tables_number 8
loop_
_symmetry_equiv_pos_as_xyz
'x,y,z'
'x,-y,z'
'x+1/2,y+1/2,z'
'x+1/2,-y+1/2,z'
loop_
_atom_site_label
_atom_site_type_symbol
_atom_site_fract_x
_atom_site_fract_y
_atom_site_fract_z
Co1 Co 0.000 0.000 0.000
P1 P 0.337 0.000 0.130
Cl1 Cl 0.161 0.500 0.816
Cl2 Cl 0.345 0.000 0.393

---

Version 4
# CoPCl2 GGA-PBEsol relaxed
# mass density = 3.35 g/cm3
# crystal system = orthorhombic
data_CoPCl2
_chemical_formula_sum 'Co2 P2 Cl4'
_cell_length_a 4.451
_cell_length_b 11.719
_cell_length_c 3.053
_cell_angle_alpha 90.00
_cell_angle_beta 90.00
_cell_angle_gamma 90.00
_symmetry_space_group_name_H-M 'C m m m'
_symmetry_Int_Tables_number 65
_symmetry_space_group_name_Hall '-C 2 2'
loop_
_atom_site_label
_atom_site_type_symbol
_atom_site_fract_x
_atom_site_fract_y
_atom_site_fract_z
Co1 Co 0.000 0.000 0.000
P1 P 0.000 0.500 0.000
Cl1 Cl 0.000 0.137 0.500

---

The relative energies come out as version 1 131.6; version 2 133.4; version 3 0.0; version 4 60.7, with values in kJ/mol of atoms.

---

Version 1
# Co2PtCl GGA-PBEsol relaxed
# mass density = 10.88 g/cm3
# crystal system = tetragonal
data_Co2PtCl
_chemical_formula_sum 'Co8 Pt4 Cl4'
_cell_length_a 6.497
_cell_length_b 6.497
_cell_length_c 5.040
_cell_angle_alpha 90.00
_cell_angle_beta 90.00
_cell_angle_gamma 90.00
_symmetry_space_group_name_H-M 'I -4 2 d'
_symmetry_Int_Tables_number 122
_symmetry_space_group_name_Hall 'I -4 2bw'
loop_
_atom_site_label
_atom_site_type_symbol
_atom_site_fract_x
_atom_site_fract_y
_atom_site_fract_z
Co1 Co 0.214 0.750 0.125
Pt1 Pt 0.000 0.000 0.500
Cl1 Cl 0.000 0.000 0.000

---

Version 2
# Co2PtCl GGA-PBEsol relaxed
# mass density = 10.87 g/cm3
# crystal system = orthorhombic
data_Co2PtCl
_chemical_formula_sum 'Co2 Pt1 Cl1'
_cell_length_a 2.759
_cell_length_b 4.330
_cell_length_c 4.454
_cell_angle_alpha 90.00
_cell_angle_beta 90.00
_cell_angle_gamma 90.00
_symmetry_space_group_name_H-M 'P m m 2'
_symmetry_Int_Tables_number 25
loop_
_symmetry_equiv_pos_as_xyz
'x,y,z'
'-x,-y,z'
'-x,y,z'
'x,-y,z'
loop_
_atom_site_label
_atom_site_type_symbol
_atom_site_fract_x
_atom_site_fract_y
_atom_site_fract_z
Co1 Co 0.000 0.000 0.000
Co2 Co 0.000 0.500 0.415
Pt1 Pt 0.500 0.500 0.924
Cl1 Cl 0.000 0.000 0.498

---

The relative energies come out as version 1 28.9; version 2 0.0, with values in kJ/mol of atoms.

---

Version 1
# Co2PtCl GGA-PBEsol relaxed
# mass density = 10.81 g/cm3
# crystal system = tetragonal
data_Co2PtCl
_chemical_formula_sum 'Co4 Pt2 Cl2'
_cell_length_a 3.791
_cell_length_b 3.791
_cell_length_c 7.446
_cell_angle_alpha 90.00
_cell_angle_beta 90.00
_cell_angle_gamma 90.00
_symmetry_space_group_name_H-M 'I -4 m 2'
_symmetry_Int_Tables_number 119
_symmetry_space_group_name_Hall 'I -4 -2'
loop_
_atom_site_label
_atom_site_type_symbol
_atom_site_fract_x
_atom_site_fract_y
_atom_site_fract_z
Co1 Co 0.000 0.000 0.000
Co2 Co 0.000 0.500 0.250
Pt1 Pt 0.000 0.000 0.500
Cl1 Cl 0.000 0.500 0.750

---

Version 2
# Co2PtCl GGA-PBEsol relaxed
# mass density = 11.05 g/cm3
# crystal system = orthorhombic
data_Co2PtCl
_chemical_formula_sum 'Co4 Pt2 Cl2'
_cell_length_a 2.750
_cell_length_b 4.589
_cell_length_c 8.301
_cell_angle_alpha 90.00
_cell_angle_beta 90.00
_cell_angle_gamma 90.00
_symmetry_space_group_name_H-M 'I m m m'
_symmetry_Int_Tables_number 71
_symmetry_space_group_name_Hall '-I 2 2'
loop_
_atom_site_label
_atom_site_type_symbol
_atom_site_fract_x
_atom_site_fract_y
_atom_site_fract_z
Co1 Co 0.000 0.000 0.230
Pt1 Pt 0.000 0.500 0.000
Cl1 Cl 0.000 0.500 0.500

---

The relative energies come out as version 1 5.9; version 2 0.0, with values in kJ/mol of atoms.